# 1
Material: Cd4FeW
Method: DFT, GGA-PBE
State: relaxed

Cell and atoms, written as CIF:
```
data_Cd4FeW
_space_group_name_H-M_alt 'F -4 3 m'
_space_group_IT_number 216
_space_group_name_Hall 'F -4 2 3'
_cell_length_a 7.712
_cell_length_b 7.712
_cell_length_c 7.712
_cell_angle_alpha 90.00
_cell_angle_beta 90.00
_cell_angle_gamma 90.00
loop_
_atom_site_label
_atom_site_type_symbol
_atom_site_fract_x
_atom_site_fract_y
_atom_site_fract_z
_atom_site_occupancy
Cd1 Cd 0.125 0.125 0.125 1
Fe1 Fe 0.250 0.250 0.750 1
W1 W 0.000 0.000 0.500 1
```

Results
Energy of formation: 0.8961 eV/atom

***

# 2
Material: RhPbSN2
Method: DFT, GGA-PBE
State: relaxed

Cell and atoms, written as CIF:
```
data_RhPbSN2
_space_group_name_H-M_alt 'P 4/m m m'
_space_group_IT_number 123
_space_group_name_Hall '-P 4 2'
_cell_length_a 4.225
_cell_length_b 4.225
_cell_length_c 5.472
_cell_angle_alpha 90.00
_cell_angle_beta 90.00
_cell_angle_gamma 90.00
loop_
_atom_site_label
_atom_site_type_symbol
_atom_site_fract_x
_atom_site_fract_y
_atom_site_fract_z
_atom_site_occupancy
Rh1 Rh 0.000 0.000 0.000 1
Pb1 Pb 0.500 0.500 0.500 1
S1 S 0.500 0.500 0.000 1
N1 N 0.000 0.500 0.500 1
```

Results
Polymorph energy (0 for the lowest one): 118.2 kJ/mol of atoms
E_form (uncorrected): 2069 meV per atom